# Cs3NpPa2Te6 GGA-PBE relaxed
data_Cs3NpPa2Te6
_chemical_formula_sum 'Cs3 Np1 Pa2 Te6'
_cell_length_a 7.856
_cell_length_b 7.856
_cell_length_c 9.430
_cell_angle_alpha 97.99
_cell_angle_beta 97.99
_cell_angle_gamma 119.98
_space_group_name_H-M_alt 'P 1'
_space_group_IT_number 1
loop_
_space_group_symop_operation_xyz
'x,y,z'
loop_
_atom_site_label
_atom_site_fract_x
_atom_site_fract_y
_atom_site_fract_z
_atom_site_occupancy
Te1 0.727 0.727 0.194 1
Te2 0.403 0.065 0.195 1
Te3 0.273 0.273 0.806 1
Te4 0.597 0.935 0.805 1
Te5 0.065 0.403 0.195 1
Te6 0.935 0.597 0.805 1
Cs1 0.166 0.834 0.500 1
Cs2 0.500 0.500 0.500 1
Cs3 0.834 0.166 0.500 1
Pa1 0.667 0.333 0.000 1
Pa2 0.333 0.667 0.000 1
Np1 0.000 0.000 0.000 1
# Symmetry = C2/m, No. 12
# Raw formation energy = -0.884 eV/atom
# Energy = -5.329 eV/atom
# M_tot = 1.31 Bohr magnetons per cell